*1*
Compound: GdPu
Source: OQMD
Functional: PBE-GGA
Structure: optimized geometry

```
GdPu
1.0
3.4687 0.0000 0.0000
-1.7343 3.0040 0.0000
0.0000 0.0000 5.7021
Gd Pu
1 1
Direct
0.0000 0.0000 0.0000 Gd
0.6667 0.3333 0.5000 Pu
```

***

*2*
Compound: GdPu
Source: OQMD
Functional: PBE-GGA
Structure: optimized geometry

```
GdPu
1.0
0.0000 3.1928 3.1928
3.1928 0.0000 3.1928
3.1928 3.1928 0.0000
Gd Pu
1 1
Direct
0.0000 0.0000 0.0000 Gd
0.5000 0.5000 0.5000 Pu
```

***

It is *1* that is the most stable of them.

***

*1*
Compound: Rb2Gd
Source: OQMD
Functional: PBE-GGA
Structure: optimized geometry

```
Rb2Gd
1.0
0.0000 4.8924 4.8924
4.8924 0.0000 4.8924
4.8924 4.8924 0.0000
Rb Gd
2 1
Direct
0.2500 0.2500 0.2500 Rb
0.7500 0.7500 0.7500 Rb
0.0000 0.0000 0.0000 Gd
```

***

*2*
Compound: Rb2Gd
Source: OQMD
Functional: PBE-GGA
Structure: optimized geometry

```
Rb2Gd
1.0
0.0000 5.4807 5.4807
5.4807 0.0000 5.4807
5.4807 5.4807 0.0000
Rb Gd
4 2
Direct
0.0000 0.0000 0.0000 Rb
0.0000 0.0000 0.5000 Rb
0.0000 0.5000 0.0000 Rb
0.5000 0.0000 0.0000 Rb
0.3750 0.3750 0.3750 Gd
0.6250 0.6250 0.6250 Gd
```

***

It is *2* that is the most stable of them.

***

*1*
Compound: RbGdSnTe3
Source: OQMD
Functional: PBE-GGA
Structure: optimized geometry

```
RbGdSnTe3
1.0
2.2147 -8.6270 0.0000
2.2147 8.6270 0.0000
0.0000 0.0000 12.8387
Rb Gd Sn Te
2 2 2 6
Direct
0.2087 0.7913 0.7500 Rb
0.7913 0.2087 0.2500 Rb
0.5000 0.5000 0.0000 Gd
0.5000 0.5000 0.5000 Gd
0.1007 0.8993 0.2500 Sn
0.8993 0.1007 0.7500 Sn
0.1254 0.8746 0.0088 Te
0.1254 0.8746 0.4912 Te
0.4851 0.5149 0.2500 Te
0.5149 0.4851 0.7500 Te
0.8746 0.1254 0.5088 Te
0.8746 0.1254 0.9912 Te
```

***

*2*
Compound: RbGdSnTe3
Source: OQMD
Functional: PBE-GGA
Structure: optimized geometry

```
RbGdSnTe3
1.0
17.1087 0.0000 0.0000
0.0000 4.4628 0.0000
0.0000 0.0000 12.6921
Rb Gd Sn Te
4 4 4 12
Direct
0.2287 0.2500 0.0693 Rb
0.2713 0.7500 0.5693 Rb
0.7287 0.2500 0.4307 Rb
0.7713 0.7500 0.9307 Rb
0.0067 0.7500 0.6489 Gd
0.4933 0.2500 0.1489 Gd
0.5067 0.7500 0.8511 Gd
0.9933 0.2500 0.3511 Gd
0.0345 0.2500 0.9168 Sn
0.4655 0.7500 0.4168 Sn
0.5345 0.2500 0.5832 Sn
0.9655 0.7500 0.0832 Sn
0.0914 0.7500 0.2330 Te
0.1037 0.2500 0.5421 Te
0.1332 0.7500 0.8304 Te
0.3668 0.2500 0.3304 Te
0.3963 0.7500 0.0421 Te
0.4086 0.2500 0.7330 Te
0.5914 0.7500 0.2670 Te
0.6037 0.2500 0.9579 Te
0.6332 0.7500 0.6696 Te
0.8668 0.2500 0.1696 Te
0.8963 0.7500 0.4579 Te
0.9086 0.2500 0.7670 Te
```

***

It is *2* that is the most stable of them.